This record from Alexandria describes crystalline Dy2Al3Pt4Au at its relaxed geometry. The functional is PBE.

N(E_F), states/eV/f.u.: 4.4
V, Å³ per cell: 188.66
ΔE_f, eV/f.u.: -10.183

Unit cell a=4.0166 b=4.0166 c=11.6939 alpha=90.00 beta=90.00 gamma=90.00
With the nearest neighbours (Å) after each atom.
Positions (direct):
Au (0.5000, 0.5000, 0.5000)  4 Pt 2.79, 4 Al 2.84
Pt (0.0000, 0.5000, 0.3340)  1 Al 2.43
Dy (0.0000, 0.5000, 0.7423)  4 Pt 2.98, 4 Al 3.23
Al (0.0000, 0.5000, 0.1261)  5 Pt 2.43-2.49
Pt (0.0000, 0.0000, 0.0000)  4 Al 2.49
Pt (0.5000, 0.0000, 0.6660)  1 Al 2.43
Al (0.5000, 0.0000, 0.8739)  5 Pt 2.43-2.49
Pt (0.5000, 0.5000, 0.0000)  4 Al 2.49
Al (0.0000, 0.0000, 0.5000)  4 Pt 2.79, 4 Au 2.84
Dy (0.5000, 0.0000, 0.2577)  4 Pt 2.98, 4 Al 3.23